No. 1
Density functional theory data (GGA-PBE) for an optimized crystal structure of Ga2AuS4.

Unit cell a=5.134 b=5.134 c=5.970 alpha=90.00 beta=90.00 gamma=90.00
Sites, in units of the cell vectors:
Ga1 0.000 0.500 0.000
Ga2 0.500 0.000 0.000
Au1 0.000 0.000 0.500
S1 0.267 0.267 0.762
S2 0.267 0.733 0.238
S3 0.733 0.267 0.238
S4 0.733 0.733 0.762

Space group ... P-42m
Formation energy (no corrections) ... -391.2 meV per atom

***

No. 2
Density functional theory data (GGA-PBE) for an optimized crystal structure of PmBiAs2.

Unit cell a=5.213 b=5.213 c=5.213 alpha=60.00 beta=60.00 gamma=60.00
Sites, in units of the cell vectors:
Pm1 0.000 0.000 0.000
Bi1 0.500 0.500 0.500
As1 0.250 0.250 0.250
As2 0.750 0.750 0.750

Space group ... Fm-3m
E_form ... -0.414 eV/atom

***

No. 3
Density functional theory data (GGA-PBE) for an optimized crystal structure of CaZr2GeIr.

Unit cell a=5.044 b=5.044 c=4.684 alpha=90.00 beta=90.00 gamma=90.00
Sites, in units of the cell vectors:
Ca1 0.000 0.000 0.000
Zr1 0.000 0.500 0.000
Zr2 0.500 0.000 0.000
Ge1 0.500 0.500 0.500
Ir1 0.000 0.000 0.500

Space group ... P4/mmm
E_form ... 1.545 eV/atom

***

No. 4
Density functional theory data (GGA-PBE) for an optimized crystal structure of Nb2Ag2Cl2O5.

Unit cell a=12.926 b=12.926 c=12.926 alpha=162.79 beta=162.79 gamma=24.44
Sites, in units of the cell vectors:
Nb1 0.076 0.076 0.000
Nb2 0.924 0.924 0.000
Ag1 0.314 0.314 0.000
Ag2 0.686 0.686 0.000
Cl1 0.193 0.193 0.000
Cl2 0.807 0.807 0.000
O1 0.000 0.000 0.000
O2 0.090 0.590 0.500
O3 0.410 0.910 0.500
O4 0.590 0.090 0.500
O5 0.910 0.410 0.500

Space group ... I4/mmm
Formation energy (no corrections) ... -1693.5 meV per atom

***

No. 5
Density functional theory data (GGA-PBE) for an optimized crystal structure of LaMg4Fe.

Unit cell a=5.831 b=5.831 c=5.831 alpha=60.00 beta=60.00 gamma=60.00
Sites, in units of the cell vectors:
La1 0.000 0.000 0.000
Mg1 0.128 0.624 0.624
Mg2 0.624 0.128 0.624
Mg3 0.624 0.624 0.128
Mg4 0.624 0.624 0.624
Fe1 0.250 0.250 0.250

Space group ... F-43m
E_form ... 0.277 eV/atom

***

No. 6
Density functional theory data (GGA-PBE) for an optimized crystal structure of ErNbGa.

Unit cell a=4.041 b=4.041 c=7.917 alpha=90.00 beta=90.00 gamma=90.00
Sites, in units of the cell vectors:
Er1 0.250 0.250 0.158
Er2 0.750 0.750 0.842
Nb1 0.250 0.750 0.500
Nb2 0.750 0.250 0.500
Ga1 0.250 0.250 0.752
Ga2 0.750 0.750 0.248

Space group ... P4/nmm
E_form ... -0.414 eV/atom

***

| no. | E_tot (Ha/atom) | magnetization (μB/f.u.) |
| --- | --- | --- |
| 1 | -0.1500 | 0.00 |
| 2 | -0.1800 | 0.00 |
| 3 | -0.1826 | 0.00 |
| 4 | -0.2437 | 0.00 |
| 5 | -0.1109 | 1.33 |
| 6 | -0.2315 | 0.00 |